Record 1
Compound: RbHfPO
Source: OQMD
Functional: GGA-PBE
Structure: relaxed Values from VASP.

Calculated values
The calculated total energy is -5.80 eV per atom.

The structure in Quantum ESPRESSO input format:
```
&SYSTEM
  ibrav = 0, nat = 8, ntyp = 4
/
ATOMIC_SPECIES
Rb 85.47 Rb.upf
Hf 178.49 Hf.upf
P 30.97 P.upf
O 16.00 O.upf
ATOMIC_POSITIONS crystal
Rb 0.2500 0.2500 0.1411
Rb 0.7500 0.7500 0.8589
Hf 0.2500 0.7500 0.5000
Hf 0.7500 0.2500 0.5000
P 0.2500 0.2500 0.6082
P 0.7500 0.7500 0.3918
O 0.2500 0.7500 0.0000
O 0.7500 0.2500 0.0000
CELL_PARAMETERS angstrom
4.4994 0.0000 0.0000
0.0000 4.4994 0.0000
0.0000 0.0000 11.0913
```

***

Record 2
Compound: RbHfPO
Source: OQMD
Functional: GGA-PBE
Structure: relaxed Values from VASP.

Calculated values
The calculated total energy is -6.78 eV per atom.

The structure in Quantum ESPRESSO input format:
```
&SYSTEM
  ibrav = 0, nat = 8, ntyp = 4
/
ATOMIC_SPECIES
Rb 85.47 Rb.upf
Hf 178.49 Hf.upf
P 30.97 P.upf
O 16.00 O.upf
ATOMIC_POSITIONS crystal
Rb 0.0000 0.2144 0.0000
Rb 0.0000 0.7856 0.5000
Hf 0.5000 0.3028 0.4568
Hf 0.5000 0.6972 0.9568
P 0.5000 0.4727 0.7275
P 0.5000 0.5273 0.2275
O 0.0000 0.1774 0.4358
O 0.0000 0.8226 0.9358
CELL_PARAMETERS angstrom
3.6077 0.0000 0.0000
0.0000 7.4586 0.0000
0.0000 0.0000 7.6904
```

***

Record 3
Compound: RbHfPO
Source: OQMD
Functional: GGA-PBE
Structure: relaxed Values from VASP.

Calculated values
The calculated total energy is -6.35 eV per atom.

The structure in Quantum ESPRESSO input format:
```
&SYSTEM
  ibrav = 0, nat = 8, ntyp = 4
/
ATOMIC_SPECIES
Rb 85.47 Rb.upf
Hf 178.49 Hf.upf
P 30.97 P.upf
O 16.00 O.upf
ATOMIC_POSITIONS crystal
Rb 0.2500 0.7500 0.0000
Rb 0.7500 0.2500 0.0000
Hf 0.2500 0.2500 0.3932
Hf 0.7500 0.7500 0.6068
P 0.2500 0.2500 0.7442
P 0.7500 0.7500 0.2558
O 0.2500 0.7500 0.5000
O 0.7500 0.2500 0.5000
CELL_PARAMETERS angstrom
3.8766 0.0000 0.0000
0.0000 3.8766 0.0000
0.0000 0.0000 9.8133
```

***

Record 4
Compound: RbHfPO
Source: OQMD
Functional: GGA-PBE
Structure: relaxed Values from VASP.

Calculated values
The calculated total energy is -6.96 eV per atom.

The structure in Quantum ESPRESSO input format:
```
&SYSTEM
  ibrav = 0, nat = 8, ntyp = 4
/
ATOMIC_SPECIES
Rb 85.47 Rb.upf
Hf 178.49 Hf.upf
P 30.97 P.upf
O 16.00 O.upf
ATOMIC_POSITIONS crystal
Rb 0.0000 0.1695 0.0000
Rb 0.0000 0.8305 0.5000
Hf 0.5000 0.3916 0.5665
Hf 0.5000 0.6084 0.0665
P 0.0000 0.2271 0.4929
P 0.0000 0.7729 0.9929
O 0.5000 0.4285 0.8718
O 0.5000 0.5715 0.3718
CELL_PARAMETERS angstrom
4.0008 0.0000 0.0000
0.0000 8.5207 0.0000
0.0000 0.0000 6.4655
```

***

Record 5
Compound: HfSbPO
Source: OQMD
Functional: GGA-PBE
Structure: relaxed Values from VASP.

Calculated values
The calculated total energy is -6.79 eV per atom.

The structure in Quantum ESPRESSO input format:
```
&SYSTEM
  ibrav = 0, nat = 8, ntyp = 4
/
ATOMIC_SPECIES
Hf 178.49 Hf.upf
Sb 121.76 Sb.upf
P 30.97 P.upf
O 16.00 O.upf
ATOMIC_POSITIONS crystal
Hf 0.2500 0.7500 0.0000
Hf 0.7500 0.2500 0.0000
Sb 0.2500 0.2500 0.4257
Sb 0.7500 0.7500 0.5743
P 0.2500 0.2500 0.8353
P 0.7500 0.7500 0.1647
O 0.2500 0.7500 0.5000
O 0.7500 0.2500 0.5000
CELL_PARAMETERS angstrom
4.6125 0.0000 0.0000
0.0000 4.6125 0.0000
0.0000 0.0000 6.7188
```

***

Record 6
Compound: HfSbPO
Source: OQMD
Functional: GGA-PBE
Structure: relaxed Values from VASP.

Calculated values
The calculated total energy is -7.11 eV per atom.

The structure in Quantum ESPRESSO input format:
```
&SYSTEM
  ibrav = 0, nat = 8, ntyp = 4
/
ATOMIC_SPECIES
Hf 178.49 Hf.upf
Sb 121.76 Sb.upf
P 30.97 P.upf
O 16.00 O.upf
ATOMIC_POSITIONS crystal
Hf 0.2500 0.2500 0.1142
Hf 0.7500 0.7500 0.8858
Sb 0.2500 0.7500 0.5000
Sb 0.7500 0.2500 0.5000
P 0.2500 0.2500 0.7551
P 0.7500 0.7500 0.2449
O 0.2500 0.7500 0.0000
O 0.7500 0.2500 0.0000
CELL_PARAMETERS angstrom
3.8124 0.0000 0.0000
0.0000 3.8124 0.0000
0.0000 0.0000 9.8273
```

***

Record 7
Compound: HfSbPO
Source: OQMD
Functional: GGA-PBE
Structure: relaxed Values from VASP.

Calculated values
The calculated total energy is -7.30 eV per atom.

The structure in Quantum ESPRESSO input format:
```
&SYSTEM
  ibrav = 0, nat = 8, ntyp = 4
/
ATOMIC_SPECIES
Hf 178.49 Hf.upf
Sb 121.76 Sb.upf
P 30.97 P.upf
O 16.00 O.upf
ATOMIC_POSITIONS crystal
Hf 0.0000 0.0618 0.0000
Hf 0.0000 0.9382 0.5000
Sb 0.5000 0.3059 0.5796
Sb 0.5000 0.6941 0.0796
P 0.5000 0.3403 0.9237
P 0.5000 0.6597 0.4237
O 0.0000 0.0860 0.2634
O 0.0000 0.9140 0.7634
CELL_PARAMETERS angstrom
3.6361 0.0000 0.0000
0.0000 6.4078 0.0000
0.0000 0.0000 7.4371
```

***

Record 8
Compound: HfSbPO
Source: OQMD
Functional: GGA-PBE
Structure: relaxed Values from VASP.

Calculated values
The calculated total energy is -7.34 eV per atom.

The structure in Quantum ESPRESSO input format:
```
&SYSTEM
  ibrav = 0, nat = 8, ntyp = 4
/
ATOMIC_SPECIES
Hf 178.49 Hf.upf
Sb 121.76 Sb.upf
P 30.97 P.upf
O 16.00 O.upf
ATOMIC_POSITIONS crystal
Hf 0.0000 0.1913 0.0000
Hf 0.0000 0.8087 0.5000
Sb 0.5000 0.1945 0.5164
Sb 0.5000 0.8055 0.0164
P 0.0000 0.0851 0.3040
P 0.0000 0.9149 0.8040
O 0.5000 0.3175 0.9677
O 0.5000 0.6825 0.4677
CELL_PARAMETERS angstrom
3.4737 0.0000 0.0000
0.0000 7.1177 0.0000
0.0000 0.0000 8.1627
```